Here is a geometry-optimized MnCr2AsO6 structure from Alexandria via LeMat-Bulk. Energies are from PBE with a Hubbard U.

POSCAR file:
```
MnCr2AsO6
1.0
-1.8820 -3.6322 -3.2568
3.0262 -3.9959 -1.4885
-1.1024 -5.0110 2.0288
O Cr Mn As
6 2 1 1
Direct
0.2345 0.9031 0.2361 O
0.3862 0.7151 0.7554 O
0.1434 0.3861 0.7553 O
0.7151 0.1433 0.7554 O
0.6264 0.2346 0.2360 O
0.9029 0.6265 0.2361 O
0.0127 0.0126 0.9620 Cr
0.5194 0.5194 0.4418 Cr
0.8025 0.8024 0.5926 Mn
0.3186 0.3185 0.0445 As
```

* space-group type: R3
* volume: 109.4 Å³/cell
* E: -7.282 eV per atom
* spin magnetization: 10.0 Bohr magnetons per cell